# Li2Th5Pb5 | the Alexandria database | PBE-GGA | relaxed
data_Li2Th5Pb5
_chemical_formula_sum 'Li4 Th10 Pb10'
_cell_length_a 16.818
_cell_length_b 4.743
_cell_length_c 10.992
_cell_angle_alpha 90.00
_cell_angle_beta 128.59
_cell_angle_gamma 90.00
_symmetry_space_group_name_H-M 'C 1 2/m 1'
_symmetry_Int_Tables_number 12
loop_
_symmetry_equiv_pos_as_xyz
'x,y,z'
'-x,-y,-z'
'-x,y,-z'
'x,-y,z'
'x+1/2,y+1/2,z'
'-x+1/2,-y+1/2,-z'
'-x+1/2,y+1/2,-z'
'x+1/2,-y+1/2,z'
loop_
_atom_site_label
_atom_site_type_symbol
_atom_site_fract_x
_atom_site_fract_y
_atom_site_fract_z
_atom_site_occupancy
Li1 Li 0.147 0.000 0.260 1
Th1 Th 0.000 0.500 0.000 1
Th2 Th 0.101 0.500 0.424 1
Th3 Th 0.193 0.500 0.833 1
Pb1 Pb 0.000 0.000 0.500 1
Pb2 Pb 0.061 0.000 0.863 1
Pb3 Pb 0.246 0.500 0.313 1
# **Formation energy**: -0.263 eV per atom
# **Total moment**: 0.00 μB/f.u.